1.
ThIn3Pd4: optimized geometry, PBE-GGA.

CIF file:
```
data_ThIn3Pd4
_symmetry_space_group_name_H-M 'R -3 m'
_symmetry_Int_Tables_number 166
_symmetry_space_group_name_Hall '-R 3 2"'
_cell_length_a 4.6376
_cell_length_b 4.6376
_cell_length_c 25.8035
_cell_angle_alpha 90.00
_cell_angle_beta 90.00
_cell_angle_gamma 120.00
loop_
_atom_site_label
_atom_site_fract_x
_atom_site_fract_y
_atom_site_fract_z
Th1 0.0000 0.0000 0.0000
In1 0.0000 0.0000 0.2455
In2 0.0000 0.0000 0.5000
Pd1 0.0000 0.0000 0.1287
Pd2 0.0000 0.0000 0.3928
```

Calculated values
DOS(E_F)	0.4910	states/eV per atom
calculated volume	20.0	A^3/atom
calculated total energy	-5.138	eV per atom
crystal system	trigonal
energy relative to the elements	-0.59	eV/atom

=====

2.
Th2In2Pd7: optimized geometry, PBE-GGA.

CIF file:
```
data_Th2In2Pd7
_symmetry_space_group_name_H-M 'I m m 2'
_symmetry_Int_Tables_number 44
_cell_length_a 4.135
_cell_length_b 11.843
_cell_length_c 9.050
_cell_angle_alpha 90.00
_cell_angle_beta 90.00
_cell_angle_gamma 90.00
loop_
_symmetry_equiv_pos_as_xyz
'x,y,z'
'-x,-y,z'
'-x,y,z'
'x,-y,z'
'x+1/2,y+1/2,z+1/2'
'-x+1/2,-y+1/2,z+1/2'
'-x+1/2,y+1/2,z+1/2'
'x+1/2,-y+1/2,z+1/2'
loop_
_atom_site_label
_atom_site_fract_x
_atom_site_fract_y
_atom_site_fract_z
Th1 0.000 0.169 0.000
In1 0.000 0.000 0.295
In2 0.000 0.500 0.066
Pd1 0.000 0.000 0.773
Pd2 0.000 0.164 0.519
Pd3 0.000 0.322 0.267
Pd4 0.000 0.346 0.755
```

Calculated values
DOS(E_F)	0.3928	states/eV per atom
calculated volume	20.1	A^3/atom
calculated total energy	-5.786	eV per atom
crystal system	orthorhombic
energy relative to the elements	-0.63	eV/atom